## Ti2Co2Au (GGA-PBEsol)

Data for an optimized crystal structure of Ti2Co2Au.

- space group = P4/mbm, No. 127
- energy relative to the elements (eV per atom) = -0.4229

Cell: 2.883 6.804 6.804 Å, 90.00 90.00 90.00°
Fractional coordinates of all 10 atoms:
Co (0.000, 0.367, 0.867)
Co (0.000, 0.133, 0.367)
Au (0.000, 0.500, 0.500)
Ti (0.500, 0.337, 0.163)
Ti (0.500, 0.163, 0.663)
Ti (0.500, 0.663, 0.837)
Ti (0.500, 0.837, 0.337)
Co (0.000, 0.867, 0.633)
Au (0.000, 0.000, 0.000)
Co (0.000, 0.633, 0.133)



## TcAgHg2 (GGA-PBEsol)

Data for an optimized crystal structure of TcAgHg2.

- space group = P4mm, No. 99
- energy relative to the elements (eV per atom) = 0.4508
- distance to the lowest polymorph of the same formula (meV/atom) = 0

Cell: 2.829 2.829 8.933 Å, 90.00 90.00 90.00°
Each line ends with the local moment (μB).
Fractional coordinates of all 4 atoms:
Tc (0.000, 0.000, 0.509)  0.15
Hg (0.500, 0.500, 0.273)  0.00
Hg (0.000, 0.000, 0.985)  0.00
Ag (0.500, 0.500, 0.732)  0.00



## BaCa2Sn2 (GGA-PBEsol)

Data for an optimized crystal structure of BaCa2Sn2.

- space group = P4/mbm, No. 127
- energy relative to the elements (eV per atom) = -0.6408
- distance to the lowest polymorph of the same formula (meV/atom) = 0

Cell: 3.478 9.387 9.387 Å, 90.00 90.00 90.00°
Fractional coordinates of all 10 atoms:
Ca (0.000, 0.623, 0.123)
Ba (0.000, 0.000, 0.000)
Sn (0.500, 0.826, 0.326)
Ba (0.000, 0.500, 0.500)
Ca (0.000, 0.877, 0.623)
Sn (0.500, 0.674, 0.826)
Sn (0.500, 0.174, 0.674)
Ca (0.000, 0.377, 0.877)
Ca (0.000, 0.123, 0.377)
Sn (0.500, 0.326, 0.174)



## TcHg2Pt (GGA-PBEsol)

Data for an optimized crystal structure of TcHg2Pt.

- space group = R3m, No. 160
- energy relative to the elements (eV per atom) = 0.2397
- distance to the lowest polymorph of the same formula (meV/atom) = 0

Cell: 2.889 2.889 9.733 Å, 81.47 81.47 60.00°
Fractional coordinates of all 4 atoms:
Hg (0.994, 0.994, 0.019)
Pt (0.507, 0.507, 0.480)
Tc (0.244, 0.244, 0.269)
Hg (0.756, 0.756, 0.733)



## Sc2ZnAu (GGA-PBEsol)

Data for an optimized crystal structure of Sc2ZnAu.

- space group = Cm, No. 8
- energy relative to the elements (eV per atom) = -0.4764

Cell: 3.246 4.715 5.380 Å, 107.42 107.56 90.00°
Fractional coordinates of all 4 atoms:
Au (0.233, 0.769, 0.466)
Sc (0.984, 0.960, 0.968)
Sc (0.763, 0.294, 0.527)
Zn (0.519, 0.478, 0.039)



## Ag7Pt3 (GGA-PBEsol)

Data for an optimized crystal structure of Ag7Pt3.

- space group = Pmm2, No. 25
- energy relative to the elements (eV per atom) = 0.0256
- distance to the lowest polymorph of the same formula (meV/atom) = 0

Cell: 2.795 4.044 14.095 Å, 90.00 90.00 90.00°
Fractional coordinates of all 10 atoms:
Ag (0.500, 0.500, 0.096)
Pt (0.000, 0.000, 0.604)
Pt (0.000, 0.000, 0.801)
Pt (0.500, 0.500, 0.895)
Ag (0.000, 0.000, 0.996)
Ag (0.500, 0.500, 0.701)
Ag (0.500, 0.500, 0.504)
Ag (0.500, 0.500, 0.300)
Ag (0.000, 0.000, 0.199)
Ag (0.000, 0.000, 0.403)



## BaRh3 (GGA-PBEsol)

Data for an optimized crystal structure of BaRh3.

- space group = I4/mmm, No. 139
- energy relative to the elements (eV per atom) = 0.6101

Cell: 4.245 4.245 4.997 Å, 115.13 115.13 90.00°
Fractional coordinates of all 4 atoms:
Rh (0.500, 0.500, 0.000)
Rh (0.250, 0.750, 0.500)
Ba (0.000, 0.000, 0.000)
Rh (0.750, 0.250, 0.500)



## TaAlWS2 (GGA-PBEsol)

Data for an optimized crystal structure of TaAlWS2.

- space group = P4/mmm, No. 123
- formation energy without anion corrections (kJ/mol of formula units) = 425

Cell: 4.580 4.580 5.121 Å, 90.00 90.00 90.00°
Fractional coordinates of all 5 atoms:
W (0.000, 0.000, 0.500)
Ta (0.000, 0.000, 0.000)
Al (0.500, 0.500, 0.500)
S (0.500, 0.000, 0.000)
S (0.000, 0.500, 0.000)



## ZnRh2Pb (GGA-PBEsol)

Data for an optimized crystal structure of ZnRh2Pb.

- space group = I-4m2, No. 119
- energy relative to the elements (eV per atom) = 0.0624

Cell: 3.815 3.815 5.104 Å, 111.95 111.95 90.00°
Fractional coordinates of all 4 atoms:
Pb (0.250, 0.750, 0.500)
Zn (0.500, 0.500, 0.000)
Rh (0.750, 0.250, 0.500)
Rh (0.000, 0.000, 0.000)



## ZnPdBr2 (GGA-PBEsol)

Data for an optimized crystal structure of ZnPdBr2.

- space group = Fm-3m, No. 225
- distance to the lowest polymorph of the same formula (meV/atom) = 235
- formation energy without anion corrections (kJ/mol of formula units) = 51

Cell: 4.748 4.748 4.748 Å, 60.00 60.00 60.00°
Fractional coordinates of all 4 atoms:
Br (0.750, 0.750, 0.750)
Pd (0.500, 0.500, 0.500)
Zn (0.000, 0.000, 0.000)
Br (0.250, 0.250, 0.250)



## LiZr2Al (GGA-PBEsol)

Data for an optimized crystal structure of LiZr2Al.

- space group = Cm, No. 8
- energy relative to the elements (eV per atom) = -0.0990

Cell: 3.168 4.905 5.552 Å, 114.89 106.58 90.00°
Fractional coordinates of all 4 atoms:
Li (0.231, 0.720, 0.461)
Zr (0.758, 0.247, 0.516)
Zr (0.991, 0.002, 0.982)
Al (0.520, 0.531, 0.041)



## Rb2TlPdPt (GGA-PBEsol)

Data for an optimized crystal structure of Rb2TlPdPt.

- space group = P4/mmm, No. 123
- energy relative to the elements (eV per atom) = 0.5019

Cell: 4.880 6.143 6.143 Å, 90.00 90.00 90.00°
Fractional coordinates of all 5 atoms:
Rb (0.000, 0.500, 0.000)
Pd (0.500, 0.000, 0.000)
Tl (0.500, 0.500, 0.500)
Pt (0.000, 0.000, 0.000)
Rb (0.000, 0.000, 0.500)



Number 1: V 13.35 A^3/atom, VASP energy -76.3 eV/cell. Number 2: V 17.87 A^3/atom, VASP energy -13.9 eV/cell. Number 3: V 30.64 A^3/atom, VASP energy -36.3 eV/cell. Number 4: V 17.32 A^3/atom, VASP energy -18.4 eV/cell. Number 5: V 18.64 A^3/atom, VASP energy -20.6 eV/cell. Number 6: V 15.93 A^3/atom, VASP energy -43.8 eV/cell. Number 7: V 17.99 A^3/atom, VASP energy -24.1 eV/cell. Number 8: V 21.49 A^3/atom, VASP energy -34.8 eV/cell. Number 9: V 15.77 A^3/atom, VASP energy -21.6 eV/cell. Number 10: V 18.92 A^3/atom, VASP energy -10.8 eV/cell. Number 11: V 18.57 A^3/atom, VASP energy -24.6 eV/cell. Number 12: V 36.83 A^3/atom, VASP energy -15.1 eV/cell.